# PBE TbDyAgRu, optimized geometry
data_TbDyAgRu
_cell_length_a 7.029
_cell_length_b 7.029
_cell_length_c 7.029
_cell_angle_alpha 90.00
_cell_angle_beta 90.00
_cell_angle_gamma 90.00
_space_group_name_H-M_alt 'F -4 3 m'
_space_group_IT_number 216
_space_group_name_Hall 'F -4 2 3'
loop_
_atom_site_label
_atom_site_type_symbol
_atom_site_fract_x
_atom_site_fract_y
_atom_site_fract_z
_atom_site_occupancy
Tb1 Tb 0.000 0.000 0.000 1
Dy1 Dy 0.000 0.000 0.500 1
Ag1 Ag 0.250 0.250 0.750 1
Ru1 Ru 0.250 0.250 0.250 1
# **Energy of formation**: -340 meV/atom
# **Calculated total energy**: -5.680 eV per atom